[1]
! PBE LiTbGdPb, optimized geometry; values from VASP
&SYSTEM
  ibrav = 0, nat = 4, ntyp = 4
/
ATOMIC_SPECIES
Pb 207.20 Pb.upf
Tb 158.93 Tb.upf
Gd 157.25 Gd.upf
Li 6.94 Li.upf
ATOMIC_POSITIONS angstrom
Pb 2.667 1.540 1.089
Tb 5.335 3.080 2.178
Gd 0.000 0.000 0.000
Li 8.002 4.620 3.267
CELL_PARAMETERS angstrom
5.335 0.000 0.000
2.667 4.620 0.000
2.667 1.540 4.356
! - ρ (g/cm³) = 8.203
! - formation energy from the elements (eV per atom) = -0.287
! - total magnetic moment (μB/f.u.) = 8.01


[2]
! PBE LiGdPd2, optimized geometry; values from VASP
&SYSTEM
  ibrav = 0, nat = 4, ntyp = 3
/
ATOMIC_SPECIES
Pd 106.42 Pd.upf
Li 6.94 Li.upf
Gd 157.25 Gd.upf
ATOMIC_POSITIONS angstrom
Pd -0.739 1.608 1.213
Li -0.150 1.136 -1.597
Pd -2.008 -0.693 -0.305
Gd -2.896 2.051 -0.689
CELL_PARAMETERS angstrom
-0.299 2.273 -3.195
-4.015 -1.386 -0.610
-1.479 3.216 2.426
! - ρ (g/cm³) = 8.647
! - formation energy from the elements (eV per atom) = -0.660
! - total magnetic moment (μB/f.u.) = 7.12


[3]
! PBE LiGdPd2, optimized geometry; values from VASP
&SYSTEM
  ibrav = 0, nat = 4, ntyp = 3
/
ATOMIC_SPECIES
Gd 157.25 Gd.upf
Pd 106.42 Pd.upf
Li 6.94 Li.upf
ATOMIC_POSITIONS angstrom
Gd -1.980 -3.302 -0.568
Pd -1.815 -3.551 2.371
Pd -0.541 -1.059 0.707
Li -0.802 -0.997 -2.107
CELL_PARAMETERS angstrom
-2.924 0.237 -1.883
1.320 -2.231 -2.331
-2.356 -4.610 3.078
! - ρ (g/cm³) = 8.552
! - formation energy from the elements (eV per atom) = -0.672
! - total magnetic moment (μB/f.u.) = 7.08


[4]
! PBE LiGdPd4, optimized geometry; values from VASP
&SYSTEM
  ibrav = 0, nat = 6, ntyp = 3
/
ATOMIC_SPECIES
Pd 106.42 Pd.upf
Gd 157.25 Gd.upf
Li 6.94 Li.upf
ATOMIC_POSITIONS angstrom
Pd 5.348 1.540 2.731
Pd 4.008 3.862 2.731
Pd 6.689 3.862 2.731
Gd 2.674 1.544 1.092
Li 0.000 0.000 0.000
Pd 5.348 3.088 0.542
CELL_PARAMETERS angstrom
5.348 0.000 0.000
2.674 4.632 0.000
2.674 1.544 4.367
! - ρ (g/cm³) = 9.054
! - formation energy from the elements (eV per atom) = -0.613
! - total magnetic moment (μB/f.u.) = 7.23


[5]
! PBE LiGdScPd, optimized geometry; values from VASP
&SYSTEM
  ibrav = 0, nat = 4, ntyp = 4
/
ATOMIC_SPECIES
Li 6.94 Li.upf
Sc 44.96 Sc.upf
Pd 106.42 Pd.upf
Gd 157.25 Gd.upf
ATOMIC_POSITIONS angstrom
Li 0.000 0.000 0.000
Sc 4.174 2.969 7.422
Pd 2.783 1.979 4.948
Gd 1.391 0.990 2.474
CELL_PARAMETERS angstrom
-0.633 1.439 4.650
3.400 -1.055 3.380
2.799 3.575 1.866
! - ρ (g/cm³) = 6.265
! - formation energy from the elements (eV per atom) = -0.379
! - total magnetic moment (μB/f.u.) = 7.20


[6]
! PBE LiGdSiPd, optimized geometry; values from VASP
&SYSTEM
  ibrav = 0, nat = 4, ntyp = 4
/
ATOMIC_SPECIES
Si 28.09 Si.upf
Pd 106.42 Pd.upf
Li 6.94 Li.upf
Gd 157.25 Gd.upf
ATOMIC_POSITIONS angstrom
Si 4.595 2.653 1.876
Pd 2.298 1.327 0.938
Li 6.893 3.980 2.814
Gd 0.000 0.000 0.000
CELL_PARAMETERS angstrom
4.595 0.000 0.000
2.298 3.980 0.000
2.298 1.327 3.752
! - ρ (g/cm³) = 7.228
! - total magnetic moment (μB/f.u.) = 7.02
! - formation energy without anion corrections (meV/atom) = -653


[7]
! PBE LiGdSnPd, optimized geometry; values from VASP
&SYSTEM
  ibrav = 0, nat = 4, ntyp = 4
/
ATOMIC_SPECIES
Sn 118.71 Sn.upf
Pd 106.42 Pd.upf
Gd 157.25 Gd.upf
Li 6.94 Li.upf
ATOMIC_POSITIONS angstrom
Sn 4.794 2.768 1.957
Pd 2.397 1.384 0.979
Gd 0.000 0.000 0.000
Li 7.192 4.152 2.936
CELL_PARAMETERS angstrom
4.794 0.000 0.000
2.397 4.152 0.000
2.397 1.384 3.915
! - ρ (g/cm³) = 8.296
! - formation energy from the elements (eV per atom) = -0.782
! - total magnetic moment (μB/f.u.) = 7.03


[8]
! PBE LiGdTlPd, optimized geometry; values from VASP
&SYSTEM
  ibrav = 0, nat = 4, ntyp = 4
/
ATOMIC_SPECIES
Li 6.94 Li.upf
Pd 106.42 Pd.upf
Gd 157.25 Gd.upf
Tl 204.38 Tl.upf
ATOMIC_POSITIONS angstrom
Li 7.306 4.218 2.983
Pd 2.435 1.406 0.994
Gd 4.871 2.812 1.988
Tl 0.000 0.000 0.000
CELL_PARAMETERS angstrom
4.871 0.000 0.000
2.435 4.218 0.000
2.435 1.406 3.977
! - ρ (g/cm³) = 9.654
! - formation energy from the elements (eV per atom) = -0.484
! - total magnetic moment (μB/f.u.) = 7.67


[9]
! PBE LiGdTmPd, optimized geometry; values from VASP
&SYSTEM
  ibrav = 0, nat = 4, ntyp = 4
/
ATOMIC_SPECIES
Tm 168.93 Tm.upf
Li 6.94 Li.upf
Pd 106.42 Pd.upf
Gd 157.25 Gd.upf
ATOMIC_POSITIONS angstrom
Tm 0.000 0.000 0.000
Li -5.985 -4.852 -5.056
Pd -1.995 -1.617 -1.685
Gd -3.990 -3.235 -3.370
CELL_PARAMETERS angstrom
-4.758 -0.281 -1.563
-1.032 -1.713 -4.601
-2.191 -4.476 -0.577
! - ρ (g/cm³) = 8.177
! - formation energy from the elements (eV per atom) = -0.411
! - total magnetic moment (μB/f.u.) = 7.19


[10]
! PBE LiGdYPd, optimized geometry; values from VASP
&SYSTEM
  ibrav = 0, nat = 4, ntyp = 4
/
ATOMIC_SPECIES
Y 88.91 Y.upf
Gd 157.25 Gd.upf
Li 6.94 Li.upf
Pd 106.42 Pd.upf
ATOMIC_POSITIONS angstrom
Y 0.000 0.000 0.000
Gd -0.156 -3.974 -4.752
Li -0.234 -5.961 -7.129
Pd -0.078 -1.987 -2.376
CELL_PARAMETERS angstrom
-0.001 -0.411 -5.043
2.372 -3.878 -2.223
-2.683 -3.659 -2.239
! - ρ (g/cm³) = 6.517
! - formation energy from the elements (eV per atom) = -0.395
! - total magnetic moment (μB/f.u.) = 7.18


[11]
! PBE LiPm2Gd, optimized geometry; values from VASP
&SYSTEM
  ibrav = 0, nat = 4, ntyp = 3
/
ATOMIC_SPECIES
Gd 157.25 Gd.upf
Pm 145.00 Pm.upf
Li 6.94 Li.upf
ATOMIC_POSITIONS angstrom
Gd 3.511 2.027 6.188
Pm 5.267 3.041 3.288
Pm 1.756 1.014 9.088
Li 0.000 0.000 0.000
CELL_PARAMETERS angstrom
3.511 0.000 0.000
1.756 3.041 0.000
1.756 1.014 12.377
! - E above lowest polymorph (meV per atom) = 103
! - ρ (g/cm³) = 5.707
! - formation energy from the elements (eV per atom) = 0.173
! - total magnetic moment (μB/f.u.) = 7.10


[12]
! PBE LiPm2Gd, optimized geometry; values from VASP
&SYSTEM
  ibrav = 0, nat = 4, ntyp = 3
/
ATOMIC_SPECIES
Li 6.94 Li.upf
Pm 145.00 Pm.upf
Gd 157.25 Gd.upf
ATOMIC_POSITIONS angstrom
Li 0.000 0.000 0.000
Pm -0.827 -1.161 -3.103
Pm -2.480 -3.484 -9.308
Gd -1.654 -2.322 -6.205
CELL_PARAMETERS angstrom
-0.301 1.296 -5.415
1.111 -3.869 -3.858
-4.117 -2.072 -3.138
! - E above lowest polymorph (meV per atom) = 102
! - ρ (g/cm³) = 6.153
! - formation energy from the elements (eV per atom) = 0.172
! - total magnetic moment (μB/f.u.) = 7.30


[13]
! PBE LiPm2Gd, optimized geometry; values from VASP
&SYSTEM
  ibrav = 0, nat = 4, ntyp = 3
/
ATOMIC_SPECIES
Li 6.94 Li.upf
Gd 157.25 Gd.upf
Pm 145.00 Pm.upf
ATOMIC_POSITIONS angstrom
Li 1.831 1.831 0.000
Gd 1.831 1.831 4.536
Pm 0.000 0.000 7.020
Pm 0.000 0.000 2.052
CELL_PARAMETERS angstrom
3.661 0.000 0.000
0.000 3.661 0.000
0.000 0.000 9.072
! - E above lowest polymorph (meV per atom) = 0
! - ρ (g/cm³) = 6.201
! - formation energy from the elements (eV per atom) = 0.069
! - total magnetic moment (μB/f.u.) = 7.45


[14]
! PBE LiPmGd2, optimized geometry; values from VASP
&SYSTEM
  ibrav = 0, nat = 4, ntyp = 3
/
ATOMIC_SPECIES
Li 6.94 Li.upf
Gd 157.25 Gd.upf
Pm 145.00 Pm.upf
ATOMIC_POSITIONS angstrom
Li 1.850 2.856 2.856
Gd 0.000 0.000 2.856
Pm 1.850 0.000 0.000
Gd 0.000 2.856 0.000
CELL_PARAMETERS angstrom
3.701 0.000 0.000
0.000 5.711 0.000
0.000 0.000 5.711
! - E above lowest polymorph (meV per atom) = 75
! - ρ (g/cm³) = 6.417
! - formation energy from the elements (eV per atom) = 0.139
! - total magnetic moment (μB/f.u.) = 15.35


[15]
! PBE LiPmGd2, optimized geometry; values from VASP
&SYSTEM
  ibrav = 0, nat = 4, ntyp = 3
/
ATOMIC_SPECIES
Pm 145.00 Pm.upf
Gd 157.25 Gd.upf
Li 6.94 Li.upf
ATOMIC_POSITIONS angstrom
Pm 0.000 0.000 0.000
Gd 8.336 4.813 3.403
Li 5.557 3.209 2.269
Gd 2.779 1.604 1.134
CELL_PARAMETERS angstrom
5.557 0.000 0.000
2.779 4.813 0.000
2.779 1.604 4.538
! - E above lowest polymorph (meV per atom) = 124
! - ρ (g/cm³) = 6.382
! - formation energy from the elements (eV per atom) = 0.188
! - total magnetic moment (μB/f.u.) = 14.85